one:
Here is a geometry-optimized Sn2GeN structure from Alexandria. Energies are from GGA-PBE.

a = 4.3142 Å, b = 4.3142 Å, c = 20.4692 Å
α = 90.00°, β = 90.00°, γ = 120.00°
Space group R-3m (No. 166, hexagonal axes)
Asymmetric unit:
Sn 0.0000 0.0000 0.0951
Ge 0.0000 0.0000 0.5000
N 0.0000 0.0000 0.0000

two:
Here is a geometry-optimized Sn2GeN structure from Alexandria. Energies are from GGA-PBE.

a = 5.606 Å, b = 5.606 Å, c = 11.618 Å
α = 90.00°, β = 90.00°, γ = 90.00°
Space group I-42d (No. 122)
Asymmetric unit:
Sn 0.186 0.250 0.125
Ge 0.000 0.000 0.500
N 0.000 0.000 0.000

Most stable of them? two.

one:
Here is a geometry-optimized Sr2GeN3 structure from Alexandria. Energies are from GGA-PBE.

a = 11.969 Å, b = 6.048 Å, c = 5.789 Å
α = 90.00°, β = 90.00°, γ = 90.00°
Space group Cmc2_1 (No. 36)
Asymmetric unit:
Sr 0.151 0.243 0.000
Ge 0.000 0.304 0.499
N 0.000 0.499 0.750
N 0.141 0.179 0.499

two:
Here is a geometry-optimized Sr2GeN3 structure from Alexandria. Energies are from GGA-PBE.

a = 9.901 Å, b = 6.990 Å, c = 5.319 Å
α = 90.00°, β = 90.00°, γ = 90.00°
Space group Cmcm (No. 63)
Asymmetric unit:
Sr 0.161 0.155 0.250
Ge 0.000 0.400 0.750
N 0.000 0.136 0.750
N 0.138 0.500 0.000

Most stable of them? one.

one:
Here is a geometry-optimized Sr2GeN2 structure from Alexandria. Energies are from GGA-PBE.

a = 5.461 Å, b = 11.482 Å, c = 12.286 Å
α = 90.00°, β = 90.00°, γ = 90.00°
Space group Cmce (No. 64)
Asymmetric unit:
Sr 0.000 0.048 0.143
Sr 0.000 0.145 0.558
Ge 0.000 0.240 0.320
N 0.000 0.079 0.359
N 0.000 0.160 0.939

two:
Here is a geometry-optimized Sr2GeN2 structure from Alexandria. Energies are from GGA-PBE.

a = 3.478 Å, b = 17.565 Å, c = 6.068 Å
α = 90.00°, β = 90.00°, γ = 90.00°
Space group Cmc2_1 (No. 36)
Asymmetric unit:
Sr 0.000 0.071 0.000
Sr 0.000 0.252 0.332
Ge 0.000 0.398 0.972
N 0.000 0.148 0.636
N 0.000 0.346 0.692

Most stable of them? one.

one:
Here is a geometry-optimized SrGeTe2N structure from Alexandria. Energies are from GGA-PBE.

a = 5.871 Å, b = 5.871 Å, c = 3.687 Å
α = 90.00°, β = 90.00°, γ = 90.00°
Space group P4/mmm (No. 123)
Asymmetric unit:
Sr 0.000 0.000 0.000
Ge 0.500 0.500 0.500
Te 0.000 0.500 0.500
N 0.500 0.500 0.000

two:
Here is a geometry-optimized SrGeTe2N structure from Alexandria. Energies are from GGA-PBE.

a = 6.188 Å, b = 6.188 Å, c = 4.746 Å
α = 90.00°, β = 90.00°, γ = 90.00°
Space group P4/mmm (No. 123)
Asymmetric unit:
Sr 0.000 0.000 0.000
Ge 0.500 0.500 0.500
Te 0.000 0.500 0.000
N 0.000 0.000 0.500

Most stable of them? one.